[1]
Here is crystalline Ho2TmZn at its relaxed geometry from Alexandria via LeMat-Bulk. Energies are from GGA-PBE.

DFT formation energy (eV per atom): -0.060
Magnetic moment (μB/f.u.): 0.7
SG: R3m
Uncorrected energy (eV/atom): -3.785
Energy above the most stable polymorph in this dataset (meV/atom): 98.6

abc: 3.570 3.570 10.329
angles: 80.05 80.05 60.00
Last column: magnetic moment on the atom in μB.
Sites, in units of the cell vectors:
Zn (0.666, 0.666, 0.001)  0.01
Ho (0.260, 0.260, 0.219)  0.08
Ho (0.073, 0.073, 0.781)  0.16
Tm (0.500, 0.500, 0.499)  0.30

[2]
Here is crystalline PrGe2Pt7 at its relaxed geometry from Alexandria via LeMat-Bulk. Energies are from GGA-PBE.

DFT formation energy (eV per atom): -0.306
Magnetic moment (μB/f.u.): 0.0
SG: Cmmm
Uncorrected energy (eV/atom): -5.936

abc: 4.570 7.200 7.200
angles: 119.25 90.00 90.00
Sites, in units of the cell vectors:
Pt (0.500, 0.695, 0.929)
Pt (0.000, 0.231, 0.769)
Pt (0.000, 0.769, 0.231)
Pt (0.500, 0.500, 0.500)
Pt (0.500, 0.305, 0.071)
Pt (0.500, 0.929, 0.695)
Pt (0.500, 0.071, 0.305)
Pr (0.000, 0.000, 0.000)
Ge (0.500, 0.699, 0.301)
Ge (0.500, 0.301, 0.699)

[3]
Here is crystalline TbNdMgBi at its relaxed geometry from Alexandria via LeMat-Bulk. Energies are from GGA-PBE.

DFT formation energy (eV per atom): -0.337
Magnetic moment (μB/f.u.): 0.0
SG: F-43m
Uncorrected energy (eV/atom): -4.055

abc: 5.492 5.492 5.492
angles: 60.00 60.00 60.00
Sites, in units of the cell vectors:
Tb (0.250, 0.250, 0.250)
Mg (0.000, 0.000, 0.000)
Bi (0.500, 0.500, 0.500)
Nd (0.750, 0.750, 0.750)

[4]
Here is crystalline Ba2YRe at its relaxed geometry from Alexandria via LeMat-Bulk. Energies are from GGA-PBE.

DFT formation energy (eV per atom): 0.856
Magnetic moment (μB/f.u.): 0.2
SG: I-42d
Uncorrected energy (eV/atom): -4.833
Energy above the most stable polymorph in this dataset (meV/atom): 300.8

abc: 11.726 11.726 8.713
angles: 47.71 47.71 90.00
Last column: magnetic moment on the atom in μB.
Sites, in units of the cell vectors:
Re (0.750, 0.250, 0.500)  0.38
Re (0.000, 0.000, 0.000)  0.39
Y (0.250, 0.750, 0.500)  -0.04
Y (0.500, 0.500, 0.000)  -0.04
Ba (0.375, 0.215, 0.750)  -0.01
Ba (0.875, 0.035, 0.750)  -0.01
Ba (0.785, 0.125, 0.250)  -0.01
Ba (0.965, 0.625, 0.250)  -0.01

[5]
Here is crystalline In3Re at its relaxed geometry from Alexandria via LeMat-Bulk. Energies are from GGA-PBE.

DFT formation energy (eV per atom): 0.617
Magnetic moment (μB/f.u.): 0.0
SG: P6_3/mmc
Uncorrected energy (eV/atom): -4.549
Energy above the most stable polymorph in this dataset (meV/atom): 330.9

abc: 6.038 6.038 5.096
angles: 90.00 90.00 120.00
Sites, in units of the cell vectors:
In (0.828, 0.172, 0.250)
In (0.828, 0.657, 0.250)
In (0.172, 0.828, 0.750)
In (0.657, 0.828, 0.750)
In (0.343, 0.172, 0.250)
In (0.172, 0.343, 0.750)
Re (0.667, 0.333, 0.750)
Re (0.333, 0.667, 0.250)

[6]
Here is crystalline BeCu4As at its relaxed geometry from Alexandria via LeMat-Bulk. Energies are from GGA-PBE.

DFT formation energy (eV per atom): 0.280
Magnetic moment (μB/f.u.): 0.0
SG: F-43m
Uncorrected energy (eV/atom): -3.847

abc: 4.823 4.823 4.823
angles: 60.00 60.00 60.00
Sites, in units of the cell vectors:
Be (0.000, 0.000, 0.000)
As (0.750, 0.750, 0.750)
Cu (0.374, 0.374, 0.877)
Cu (0.374, 0.877, 0.374)
Cu (0.877, 0.374, 0.374)
Cu (0.374, 0.374, 0.374)

[7]
Here is crystalline Pu2NiP3Ir4 at its relaxed geometry from Alexandria via LeMat-Bulk. Energies are from GGA-PBE.

DFT formation energy (eV per atom): -0.711
Magnetic moment (μB/f.u.): 9.8
SG: P-4m2
Uncorrected energy (eV/atom): -9.323

abc: 4.070 4.070 9.870
angles: 90.00 90.00 90.00
Last column: magnetic moment on the atom in μB.
Sites, in units of the cell vectors:
P (0.000, 0.000, 0.500)  -0.03
P (0.000, 0.500, 0.136)  -0.01
P (0.500, 0.000, 0.864)  -0.01
Pu (0.000, 0.500, 0.737)  5.02
Pu (0.500, 0.000, 0.263)  5.02
Ir (0.000, 0.000, 0.000)  0.01
Ir (0.000, 0.500, 0.368)  -0.15
Ir (0.500, 0.500, 0.000)  0.01
Ir (0.500, 0.000, 0.632)  -0.15
Ni (0.500, 0.500, 0.500)  -0.30

[8]
Here is crystalline Ni2OsSe at its relaxed geometry from Alexandria via LeMat-Bulk. Energies are from GGA-PBE.

Magnetic moment (μB/f.u.): 0.0
Formation energy (no corrections) (eV/atom): 0.470
SG: P4/mmm
Uncorrected energy (eV/atom): -6.099

abc: 4.520 4.520 2.651
angles: 90.00 90.00 90.00
Sites, in units of the cell vectors:
Ni (0.500, 0.500, 0.000)
Ni (0.000, 0.000, 0.000)
Os (0.500, 0.000, 0.500)
Se (0.000, 0.500, 0.500)

- Which value of uncorrected energy does entry 6 give?
  -3.847 eV/atom